! Ca5Ac2Nd | Alexandria | GGA-PBE | relaxed; values from VASP
! * size of the total moment: 0.00 μB per formula unit
! * energy of formation: 0.067 eV per atom
&SYSTEM
  ibrav = 0, nat = 16, ntyp = 3
/
ATOMIC_SPECIES
Ca 40.08 Ca.upf
Ac 227.00 Ac.upf
Nd 144.24 Nd.upf
CELL_PARAMETERS angstrom
7.630 0.000 0.000
0.000 14.971 0.000
0.000 0.000 5.858
ATOMIC_POSITIONS angstrom
Ca 0.000 0.000 0.000
Ca 0.755 3.770 0.000
Ca 1.363 12.986 2.929
Ca 2.452 5.501 2.929
Ca 3.060 11.256 0.000
Ca 3.815 7.486 0.000
Ca 4.570 3.716 0.000
Ca 5.178 9.471 2.929
Ca 6.267 1.985 2.929
Ca 6.876 11.201 0.000
Ac 1.293 9.070 2.929
Ac 2.522 1.584 2.929
Ac 5.109 13.387 2.929
Ac 6.337 5.901 2.929
Nd 0.000 7.486 0.000
Nd 3.815 0.000 0.000


! Sr2ZnRe | Alexandria | GGA-PBE | relaxed; values from VASP
! * size of the total moment: 0.21 μB per formula unit
! * energy of formation: 0.509 eV per atom
&SYSTEM
  ibrav = 0, nat = 4, ntyp = 3
/
ATOMIC_SPECIES
Sr 87.62 Sr.upf
Zn 65.41 Zn.upf
Re 186.21 Re.upf
CELL_PARAMETERS angstrom
3.548 0.000 0.000
0.000 3.548 0.000
0.000 0.000 8.868
ATOMIC_POSITIONS angstrom
Sr 0.000 0.000 0.000
Sr 1.774 1.774 3.675
Zn 0.000 0.000 5.901
Re 1.774 1.774 6.660


! KTiAsBr2 | Alexandria | GGA-PBE | relaxed; values from VASP
! * size of the total moment: 0.00 μB per formula unit
! * ΔE_f (raw): -0.851 eV/atom
! * E above lowest polymorph: 0 meV per atom
&SYSTEM
  ibrav = 0, nat = 5, ntyp = 4
/
ATOMIC_SPECIES
K 39.10 K.upf
Ti 47.87 Ti.upf
As 74.92 As.upf
Br 79.90 Br.upf
CELL_PARAMETERS angstrom
5.389 0.000 0.000
0.000 5.389 0.000
0.000 0.000 4.901
ATOMIC_POSITIONS angstrom
K 0.000 0.000 0.000
Ti 2.694 2.694 2.451
As 2.694 2.694 0.000
Br 0.000 2.694 2.451
Br 2.694 0.000 2.451